Entry 1:
Compound: KZr2Sc
Source: the Alexandria database
Functional: GGA-PBE
Structure: optimized geometry

Results
As for the space-group type: No. 119. The crystal system is tetragonal. For the formation enthalpy at 0 K, the calculation gives 0.84 eV per atom. The energy relative to the lowest polymorph listed for this composition comes out at 511 meV per atom.

Unit cell a=5.7186 b=5.7186 c=5.7186 alpha=130.22 beta=130.22 gamma=73.06
Closest atoms and distances in Å follow each position.
Sites, in units of the cell vectors:
K: 0.5000 0.5000 0.0000  8 Zr 3.33-3.40, 4 Sc 3.33
Sc: 0.7500 0.2500 0.5000  8 Zr 3.33-3.40, 4 K 3.33
Zr: 0.0000 0.0000 0.0000  4 Sc 3.33, 4 Zr 3.33, 4 K 3.40
Zr: 0.2500 0.7500 0.5000  4 K 3.33, 4 Zr 3.33, 4 Sc 3.40

Entry 2:
Compound: Pr3TmTe6
Source: the Alexandria database
Functional: GGA-PBE
Structure: optimized geometry

Results
The calculation puts the uncorrected formation energy at -1.393 eV per atom. As for the space-group type: No. 14. The crystal system is monoclinic.

Unit cell a=7.4752 b=8.3335 c=11.3118 alpha=90.00 beta=91.57 gamma=90.00
Closest atoms and distances in Å follow each position.
Sites, in units of the cell vectors:
Pr: 0.5514 0.8811 0.7443  6 Te 3.18-3.39
Pr: 0.5000 0.5000 0.0000  6 Te 3.13-3.17
Pr: 0.4486 0.1189 0.2557  6 Te 3.18-3.39
Pr: 0.0514 0.6189 0.2443  6 Te 3.18-3.39
Pr: 0.0000 0.0000 0.5000  6 Te 3.13-3.17
Pr: 0.9486 0.3811 0.7557  6 Te 3.18-3.39
Tm: 0.5000 0.5000 0.5000  6 Te 2.99-3.05
Tm: 0.0000 0.0000 0.0000  6 Te 2.99-3.05
Te: 0.6673 0.1717 0.9207  1 Tm 2.99, 3 Pr 3.15-3.34
Te: 0.6554 0.1813 0.5759  1 Tm 3.01, 2 Pr 3.13-3.25
Te: 0.6624 0.4492 0.2586  1 Tm 3.05, 3 Pr 3.17-3.24
Te: 0.3376 0.5508 0.7414  1 Tm 3.05, 3 Pr 3.17-3.24
Te: 0.3446 0.8187 0.4241  1 Tm 3.01, 2 Pr 3.13-3.25
Te: 0.3327 0.8283 0.0793  1 Tm 2.99, 3 Pr 3.15-3.34
Te: 0.1673 0.3283 0.4207  1 Tm 2.99, 3 Pr 3.15-3.34
Te: 0.1554 0.3187 0.0759  1 Tm 3.01, 2 Pr 3.13-3.25
Te: 0.1624 0.0508 0.7586  1 Tm 3.05, 3 Pr 3.17-3.24
Te: 0.8376 0.9492 0.2414  1 Tm 3.05, 3 Pr 3.17-3.24
Te: 0.8446 0.6813 0.9241  1 Tm 3.01, 2 Pr 3.13-3.25
Te: 0.8327 0.6717 0.5793  1 Tm 2.99, 3 Pr 3.15-3.34

Number 1: mass density 4.16 g/cm³, magnetization 0.00 μB per cell. Number 2: mass density 6.40 g/cm³, magnetization 0.00 μB per cell.